## a
{
  "formula": "Ac2EuAu",
  "functional": "PBE-GGA",
  "state": "relaxed",
  "crystal_system": "trigonal",
  "lattice_angstrom": [[-0.749, -3.995, -0.868], [1.793, -1.781, -3.300], [8.661, -4.801, 4.679]],
  "species": ["Ac", "Au", "Eu", "Ac"],
  "frac_coords": [[0.268, 0.268, 0.195], [0.000, 0.000, 0.000], [0.500, 0.500, 0.500], [0.732, 0.732, 0.805]]
}


## b
{
  "formula": "Ac2EuAu",
  "functional": "PBE-GGA",
  "state": "relaxed",
  "crystal_system": "tetragonal",
  "lattice_angstrom": [[4.092, 0.000, 0.000], [0.000, 5.762, 0.000], [0.000, 0.000, 5.762]],
  "species": ["Eu", "Ac", "Au", "Ac"],
  "frac_coords": [[0.500, 0.500, 0.500], [0.000, 0.000, 0.500], [0.500, 0.000, 0.000], [0.000, 0.500, 0.000]]
}


## c
{
  "formula": "Ac2EuAu",
  "functional": "PBE-GGA",
  "state": "relaxed",
  "crystal_system": "tetragonal",
  "lattice_angstrom": [[3.951, 0.000, 0.000], [0.000, 3.951, 0.000], [0.000, 0.000, 9.490]],
  "species": ["Ac", "Au", "Ac", "Eu"],
  "frac_coords": [[0.000, 0.000, 0.803], [0.500, 0.500, 0.000], [0.000, 0.000, 0.197], [0.500, 0.500, 0.500]]
}


Winner for stability: c